(1)
{
  "formula": "Pr2InNi16",
  "functional": "PBE",
  "state": "optimized geometry",
  "formation_enthalpy_0k_ev_per_atom": -0.164,
  "m_tot_mub_per_cell": 4.60,
  "lattice": [[-3.606, 0.557, 5.238], [1.266, -5.767, 2.428], [4.662, 1.833, 3.958]],
  "species": ["Pr", "Pr", "In", "Ni", "Ni", "Ni", "Ni", "Ni", "Ni", "Ni", "Ni", "Ni", "Ni", "Ni", "Ni", "Ni", "Ni", "Ni", "Ni"],
  "frac_coords": [[0.650, 0.650, 0.650], [0.341, 0.341, 0.341], [0.909, 0.909, 0.909], [0.702, 0.000, 0.299], [0.000, 0.299, 0.702], [0.299, 0.702, 0.000], [0.000, 0.702, 0.299], [0.702, 0.299, 0.000], [0.299, 0.000, 0.702], [0.341, 0.844, 0.341], [0.844, 0.341, 0.341], [0.341, 0.341, 0.844], [0.654, 0.156, 0.654], [0.156, 0.654, 0.654], [0.654, 0.654, 0.156], [0.002, 0.493, 0.002], [0.493, 0.002, 0.002], [0.002, 0.002, 0.493], [0.111, 0.111, 0.111]]
}


(2)
{
  "formula": "Pr6InNi",
  "functional": "PBE",
  "state": "optimized geometry",
  "formation_enthalpy_0k_ev_per_atom": -0.046,
  "m_tot_mub_per_cell": 0.00,
  "lattice": [[6.567, 0.473, -0.091], [-2.004, 6.271, -0.091], [-0.942, -1.392, 6.297]],
  "species": ["Pr", "Pr", "Pr", "Pr", "Pr", "Pr", "In", "Ni"],
  "frac_coords": [[0.220, 0.220, 0.634], [0.583, 0.192, 0.213], [0.780, 0.780, 0.366], [0.808, 0.417, 0.787], [0.417, 0.808, 0.787], [0.192, 0.583, 0.213], [0.000, 0.000, 0.000], [0.500, 0.500, 0.500]]
}